Record 1
A relaxed structure of Tb2Ti2CdRh5. Source: the Alexandria database, functional PBE-GGA.

Unit cell a=3.5927 b=10.0923 c=10.0923 alpha=90.00 beta=90.00 gamma=90.00
Closest atoms and distances in Å follow each position.
Positions (direct):
Tb 0.0000 0.6805 0.1805  3 Ti 2.87-3.08, 6 Rh 3.14-3.15
Tb 0.0000 0.3195 0.8195  3 Ti 2.87-3.08, 6 Rh 3.14-3.15
Tb 0.0000 0.1805 0.3195  3 Ti 2.87-3.08, 6 Rh 3.14-3.15
Tb 0.0000 0.8195 0.6805  3 Ti 2.87-3.08, 6 Rh 3.14-3.15
Ti 0.0000 0.1187 0.6187  6 Rh 2.47-2.53
Ti 0.0000 0.8813 0.3813  6 Rh 2.47-2.53
Ti 0.0000 0.6187 0.8813  6 Rh 2.47-2.53
Ti 0.0000 0.3813 0.1187  6 Rh 2.47-2.53
Cd 0.0000 0.0000 0.0000  8 Rh 2.88
Cd 0.0000 0.5000 0.5000  8 Rh 2.88
Rh 0.5000 0.2130 0.0650  2 Ti 2.53
Rh 0.5000 0.7870 0.9350  2 Ti 2.53
Rh 0.5000 0.0650 0.7870  2 Ti 2.53
Rh 0.5000 0.7130 0.4350  2 Ti 2.53
Rh 0.5000 0.9350 0.2130  2 Ti 2.53
Rh 0.5000 0.2870 0.5650  2 Ti 2.53
Rh 0.5000 0.5650 0.7130  2 Ti 2.53
Rh 0.5000 0.4350 0.2870  2 Ti 2.53
Rh 0.5000 0.5000 0.0000  4 Ti 2.47
Rh 0.5000 0.0000 0.5000  4 Ti 2.47

## Properties
**Space group**: P4/mbm, No. 127
**Density of states at the Fermi level**: 8.11 states/eV per cell
**Energy of formation**: -0.561 eV/atom

Record 2
A relaxed structure of TbTlCdRh. Source: the Alexandria database, functional PBE-GGA.

Unit cell a=4.9714 b=4.9714 c=4.9714 alpha=60.00 beta=60.00 gamma=60.00
Closest atoms and distances in Å follow each position.
Positions (direct):
Rh 0.5000 0.5000 0.5000  4 Cd 3.04, 4 Tb 3.04
Tl 0.0000 0.0000 0.0000  4 Cd 3.04, 4 Tb 3.04
Tb 0.2500 0.2500 0.2500  4 Tl 3.04, 4 Rh 3.04
Cd 0.7500 0.7500 0.7500  4 Rh 3.04, 4 Tl 3.04

## Properties
**Space group**: F-43m, No. 216
**Density of states at the Fermi level**: 3.18 states/eV per cell
**Energy of formation**: -0.245 eV/atom

Record 3
A relaxed structure of TbYCdRh. Source: the Alexandria database, functional PBE-GGA.

Unit cell a=5.0712 b=5.0712 c=5.0712 alpha=60.00 beta=60.00 gamma=60.00
Closest atoms and distances in Å follow each position.
Positions (direct):
Y 0.7500 0.7500 0.7500  4 Cd 3.11, 4 Rh 3.11
Rh 0.0000 0.0000 0.0000  4 Y 3.11, 4 Tb 3.11
Tb 0.2500 0.2500 0.2500  4 Rh 3.11, 4 Cd 3.11
Cd 0.5000 0.5000 0.5000  4 Tb 3.11, 4 Y 3.11

## Properties
**Space group**: F-43m, No. 216
**Density of states at the Fermi level**: 2.26 states/eV per cell
**Energy of formation**: -0.528 eV/atom

Record 4
A relaxed structure of TbZnCdRh. Source: the Alexandria database, functional PBE-GGA.

Unit cell a=4.7853 b=4.7853 c=4.7853 alpha=60.00 beta=60.00 gamma=60.00
Closest atoms and distances in Å follow each position.
Positions (direct):
Rh 0.0000 0.0000 0.0000  4 Tb 2.93, 4 Cd 2.93
Zn 0.5000 0.5000 0.5000  4 Cd 2.93, 4 Tb 2.93
Tb 0.2500 0.2500 0.2500  4 Zn 2.93, 4 Rh 2.93
Cd 0.7500 0.7500 0.7500  4 Rh 2.93, 4 Zn 2.93

## Properties
**Space group**: F-43m, No. 216
**Density of states at the Fermi level**: 2.48 states/eV per cell
**Energy of formation**: -0.367 eV/atom

Record 5
A relaxed structure of Tb2Zn2CdRh5. Source: the Alexandria database, functional PBE-GGA.

Unit cell a=3.7341 b=9.6331 c=9.6331 alpha=90.00 beta=90.00 gamma=90.00
Closest atoms and distances in Å follow each position.
Positions (direct):
Tb 0.0000 0.6756 0.1756  3 Zn 2.76-2.91, 2 Rh 3.03
Tb 0.0000 0.3244 0.8244  3 Zn 2.76-2.91, 2 Rh 3.03
Tb 0.0000 0.1756 0.3244  3 Zn 2.76-2.91, 2 Rh 3.03
Tb 0.0000 0.8244 0.6756  3 Zn 2.76-2.91, 2 Rh 3.03
Zn 0.0000 0.1221 0.6221  6 Rh 2.50-2.54, 1 Tb 2.76
Zn 0.0000 0.8779 0.3779  6 Rh 2.50-2.54, 1 Tb 2.76
Zn 0.0000 0.6221 0.8779  6 Rh 2.50-2.54, 1 Tb 2.76
Zn 0.0000 0.3779 0.1221  6 Rh 2.50-2.54, 1 Tb 2.76
Cd 0.0000 0.0000 0.0000  8 Rh 2.82
Cd 0.0000 0.5000 0.5000  8 Rh 2.82
Rh 0.5000 0.2076 0.0701  2 Zn 2.54, 2 Cd 2.82
Rh 0.5000 0.7924 0.9299  2 Zn 2.54, 2 Cd 2.82
Rh 0.5000 0.0701 0.7924  2 Zn 2.54, 2 Cd 2.82
Rh 0.5000 0.7076 0.4299  2 Zn 2.54, 2 Cd 2.82
Rh 0.5000 0.9299 0.2076  2 Zn 2.54, 2 Cd 2.82
Rh 0.5000 0.2924 0.5701  2 Zn 2.54, 2 Cd 2.82
Rh 0.5000 0.5701 0.7076  2 Zn 2.54, 2 Cd 2.82
Rh 0.5000 0.4299 0.2924  2 Zn 2.54, 2 Cd 2.82
Rh 0.5000 0.5000 0.0000  4 Zn 2.50
Rh 0.5000 0.0000 0.5000  4 Zn 2.50

## Properties
**Space group**: P4/mbm, No. 127
**Density of states at the Fermi level**: 10.77 states/eV per cell
**Energy of formation**: -0.525 eV/atom

Record 6
A relaxed structure of Cd2TcRh. Source: the Alexandria database, functional PBE-GGA.

Unit cell a=4.7331 b=2.8062 c=5.1608 alpha=84.82 beta=90.00 gamma=90.00
Closest atoms and distances in Å follow each position.
Positions (direct):
Cd 0.0000 0.0240 0.0027  2 Rh 2.79, 5 Cd 2.80-2.95, 2 Tc 2.84
Cd 0.0000 0.4760 0.4973  2 Rh 2.79, 5 Cd 2.80-2.95, 2 Tc 2.84
Rh 0.5000 0.2500 0.2500  4 Cd 2.79, 2 Rh 2.81, 4 Tc 2.82-3.05
Tc 0.5000 0.7500 0.7500  2 Tc 2.81, 4 Rh 2.82-3.05, 4 Cd 2.84

## Properties
**Space group**: P2/m, No. 10
**Density of states at the Fermi level**: 3.59 states/eV per cell
**Energy of formation**: 0.338 eV/atom

Record 7
A relaxed structure of Cd2TcRh. Source: the Alexandria database, functional PBE-GGA.

Unit cell a=5.1141 b=5.1141 c=2.8240 alpha=90.00 beta=90.00 gamma=112.21
Closest atoms and distances in Å follow each position.
Positions (direct):
Cd 0.0000 0.0000 0.0000  4 Cd 2.82-2.85, 4 Rh 2.92, 4 Tc 2.92
Cd 0.5000 0.5000 0.0000  4 Cd 2.82-2.85, 4 Tc 2.92, 4 Rh 2.92
Rh 0.5000 0.0000 0.5000  2 Rh 2.82, 2 Tc 2.85, 8 Cd 2.92
Tc 0.0000 0.5000 0.5000  2 Tc 2.82, 2 Rh 2.85, 8 Cd 2.92

## Properties
**Space group**: Cmmm, No. 65
**Density of states at the Fermi level**: 5.43 states/eV per cell
**Energy of formation**: 0.352 eV/atom

Record 8
A relaxed structure of CdTc2Rh2. Source: the Alexandria database, functional PBE-GGA.

Unit cell a=7.6471 b=7.6471 c=2.7575 alpha=90.00 beta=90.00 gamma=90.00
Closest atoms and distances in Å follow each position.
Positions (direct):
Rh 0.1720 0.6720 0.5000  6 Tc 2.64-2.67, 2 Rh 2.76
Rh 0.6720 0.8280 0.5000  6 Tc 2.64-2.67, 2 Rh 2.76
Rh 0.8280 0.3280 0.5000  6 Tc 2.64-2.67, 2 Rh 2.76
Rh 0.3280 0.1720 0.5000  6 Tc 2.64-2.67, 2 Rh 2.76
Tc 0.3832 0.8832 0.0000  3 Tc 2.53-2.76, 6 Rh 2.64-2.67
Tc 0.8832 0.6168 0.0000  3 Tc 2.53-2.76, 6 Rh 2.64-2.67
Tc 0.6168 0.1168 0.0000  3 Tc 2.53-2.76, 6 Rh 2.64-2.67
Tc 0.1168 0.3832 0.0000  3 Tc 2.53-2.76, 6 Rh 2.64-2.67
Cd 0.0000 0.0000 0.0000  2 Cd 2.76, 4 Tc 3.06
Cd 0.5000 0.5000 0.0000  2 Cd 2.76, 4 Tc 3.06

## Properties
**Space group**: P4/mbm, No. 127
**Density of states at the Fermi level**: 10.37 states/eV per cell
**Energy of formation**: 0.140 eV/atom

Record 9
A relaxed structure of CdTc2Rh. Source: the Alexandria database, functional PBE-GGA.

Unit cell a=4.4689 b=4.4689 c=4.4689 alpha=60.00 beta=60.00 gamma=60.00
Closest atoms and distances in Å follow each position.
Positions (direct):
Cd 0.5000 0.5000 0.5000  4 Tc 2.74, 4 Rh 2.74
Rh 0.7500 0.7500 0.7500  4 Cd 2.74, 4 Tc 2.74
Tc 0.0000 0.0000 0.0000  4 Rh 2.74, 4 Tc 2.74
Tc 0.2500 0.2500 0.2500  4 Cd 2.74, 4 Tc 2.74

## Properties
**Space group**: F-43m, No. 216
**Density of states at the Fermi level**: 4.31 states/eV per cell
**Energy of formation**: 0.377 eV/atom

Record 10
A relaxed structure of CdTc2Rh. Source: the Alexandria database, functional PBE-GGA.

Unit cell a=4.2492 b=2.7988 c=5.5808 alpha=74.63 beta=90.00 gamma=90.00
Closest atoms and distances in Å follow each position.
Positions (direct):
Cd 0.0000 0.4511 0.4969  7 Tc 2.75-3.06, 2 Cd 2.80, 4 Rh 2.93-2.96
Rh 0.5000 0.7952 0.7714  7 Tc 2.74-2.95, 2 Rh 2.80, 4 Cd 2.93-2.96
Tc 0.0000 0.1500 0.0080  2 Tc 2.43
Tc 0.5000 0.1037 0.2237  2 Tc 2.43

## Properties
**Space group**: Pm, No. 6
**Density of states at the Fermi level**: 2.84 states/eV per cell
**Energy of formation**: 0.251 eV/atom

Record 11
A relaxed structure of Cd2TcRh. Source: the Alexandria database, functional PBE-GGA.

Unit cell a=4.9633 b=4.9633 c=4.9633 alpha=130.00 beta=130.00 gamma=73.40
Closest atoms and distances in Å follow each position.
Positions (direct):
Cd 0.0000 0.0000 0.0000  4 Tc 2.89, 4 Rh 2.89, 4 Cd 2.97
Cd 0.5000 0.5000 0.0000  4 Tc 2.89, 4 Rh 2.89, 4 Cd 2.97
Rh 0.2500 0.7500 0.5000  8 Cd 2.89, 4 Tc 2.97
Tc 0.7500 0.2500 0.5000  8 Cd 2.89, 4 Rh 2.97

## Properties
**Space group**: I4/mmm, No. 139
**Density of states at the Fermi level**: 2.67 states/eV per cell
**Energy of formation**: 0.362 eV/atom

Record 12
A relaxed structure of Cd2Tc2Rh. Source: the Alexandria database, functional PBE-GGA.

Unit cell a=3.4396 b=3.4396 c=8.2304 alpha=77.94 beta=77.94 gamma=90.00
Closest atoms and distances in Å follow each position.
Positions (direct):
Rh 0.0000 0.0000 0.0000  8 Cd 2.85
Tc 0.7500 0.2500 0.5000  4 Tc 2.43
Tc 0.2500 0.7500 0.5000  4 Tc 2.43
Cd 0.4051 0.4051 0.1899  4 Rh 2.85, 4 Tc 2.98, 1 Cd 2.99
Cd 0.5949 0.5949 0.8101  4 Rh 2.85, 4 Tc 2.98, 1 Cd 2.99

## Properties
**Space group**: I4/mmm, No. 139
**Density of states at the Fermi level**: 4.86 states/eV per cell
**Energy of formation**: 0.529 eV/atom

Number 1: theoretical density 9.4 g/cm3, E_tot -6.834 eV/atom. Number 2: theoretical density 11.1 g/cm3, E_tot -4.061 eV/atom. Number 3: theoretical density 8.3 g/cm3, E_tot -5.368 eV/atom. Number 4: theoretical density 9.4 g/cm3, E_tot -3.910 eV/atom. Number 5: theoretical density 10.3 g/cm3, E_tot -5.473 eV/atom. Number 6: theoretical density 10.4 g/cm3, E_tot -4.549 eV/atom. Number 7: theoretical density 10.3 g/cm3, E_tot -4.535 eV/atom. Number 8: theoretical density 10.6 g/cm3, E_tot -7.130 eV/atom. Number 9: theoretical density 10.8 g/cm3, E_tot -6.872 eV/atom. Number 10: theoretical density 10.7 g/cm3, E_tot -6.998 eV/atom. Number 11: theoretical density 10.1 g/cm3, E_tot -4.525 eV/atom. Number 12: theoretical density 9.3 g/cm3, E_tot -5.454 eV/atom.